# 1
The following is a PBE-GGA calculation of a geometry-optimized Dy2ErTmCd2 structure, from OQMD.

The calculation puts the formation energy at -0.2251 eV per atom. The volume comes out at 27.36 A^3/atom. For the total DFT energy (no corrections), the calculation gives -21.38 eV per formula unit. The theoretical density comes out at 8963 kg/m3.

The space group is Amm2 (No. 38) and the conventional cell measures 5.3582, 3.6231 and 16.9111 Å, with angles of 90.00, 90.00 and 90.00 degrees. The asymmetric unit holds Dy at (0.0000, 0.0000, 0.0000), Dy at (0.5000, 0.0000, 0.1798), Er at (0.0000, 0.0000, 0.3149), Tm at (0.5000, 0.0000, 0.8650), Cd at (0.0000, 0.0000, 0.6575) and Cd at (0.5000, 0.0000, 0.5217).

***

# 2
The following is a PBE-GGA calculation of a geometry-optimized DyEr2TmCd2 structure, from OQMD.

The calculation puts the formation energy at -0.2210 eV per atom. The volume comes out at 27.14 A^3/atom. For the total DFT energy (no corrections), the calculation gives -21.32 eV per formula unit. The theoretical density comes out at 9084 kg/m3.

The space group is Amm2 (No. 38) and the conventional cell measures 5.3347, 3.6180 and 16.8724 Å, with angles of 90.00, 90.00 and 90.00 degrees. The asymmetric unit holds Dy at (0.0000, 0.0000, 0.0000), Er at (0.0000, 0.0000, 0.6856), Er at (0.5000, 0.0000, 0.1353), Tm at (0.5000, 0.0000, 0.8198), Cd at (0.0000, 0.0000, 0.3422) and Cd at (0.5000, 0.0000, 0.4764).

***

# 3
The following is a PBE-GGA calculation of a geometry-optimized DyCdFe structure, from OQMD.

The calculation puts the formation energy at 0.3099 eV per atom. The volume comes out at 22.58 A^3/atom. For the total DFT energy (no corrections), the calculation gives -12.88 eV per formula unit. The theoretical density comes out at 8107 kg/m3.

The space group is F-43m (No. 216) and the conventional cell measures 6.4711, 6.4711 and 6.4711 Å, with angles of 90.00, 90.00 and 90.00 degrees. The asymmetric unit holds Dy at (0.0000, 0.0000, 0.0000), Cd at (0.0000, 0.0000, 0.5000) and Fe at (0.2500, 0.2500, 0.7500).

***

# 4
The following is a PBE-GGA calculation of a geometry-optimized GdDyCd2Ga2 structure, from OQMD.

The volume comes out at 22.71 A^3/atom. For the total DFT energy (no corrections), the calculation gives -20.13 eV per formula unit. The theoretical density comes out at 8334 kg/m3.

The space group is P3m1 (No. 156) and the conventional cell measures 4.6325, 4.6325 and 7.3329 Å, with angles of 90.00, 90.00 and 120.00 degrees. The asymmetric unit holds Gd at (0.0000, 0.0000, 0.0000), Dy at (0.0000, 0.0000, 0.4999), Cd at (0.3333, 0.6667, 0.2819), Cd at (0.6667, 0.3333, 0.7768), Ga at (0.3333, 0.6667, 0.7014) and Ga at (0.6667, 0.3333, 0.2044).